A relaxed structure of Zn5Fe4. Source: Alexandria, functional PBE.

Calculated values
- Formation energy: 1.275 eV per formula unit
- Uncorrected energy: -4.3273 eV per atom
- DOS(E_F): 17.401 states/eV/cell
- Space-group type: P6_3/mcm

a b c (Å): 7.354 7.354 5.058
angles (deg): 90.00 90.00 60.00
Fractional coordinates of all 18 atoms:
Fe (0.671, 0.000, 0.750)
Zn (0.670, 0.000, 0.250)
Fe (0.329, 0.000, 0.250)
Zn (0.000, 0.330, 0.250)
Fe (0.329, 0.671, 0.750)
Fe (0.000, 0.000, 0.500)
Zn (0.333, 0.333, 0.000)
Fe (0.000, 0.671, 0.250)
Zn (0.333, 0.333, 0.500)
Zn (0.667, 0.667, 0.500)
Zn (0.000, 0.670, 0.750)
Fe (0.000, 0.329, 0.750)
Fe (0.671, 0.329, 0.250)
Zn (0.330, 0.000, 0.750)
Zn (0.330, 0.670, 0.250)
Fe (0.000, 0.000, 0.000)
Zn (0.670, 0.330, 0.750)
Zn (0.667, 0.667, 0.000)